Entry 1:
{"formula": "NaLi3Cd6", "functional": "GGA-PBE", "state": "optimized geometry", "dft_energy_ev_per_atom": -1.44, "ef_ev_per_atom": -0.182, "lattice_angstrom": [[4.683, 0.000, 0.000], [0.000, 8.530, -2.137], [0.000, 0.579, 10.054]], "species": ["Cd", "Cd", "Cd", "Cd", "Cd", "Cd", "Cd", "Cd", "Cd", "Cd", "Cd", "Cd", "Li", "Li", "Li", "Li", "Li", "Li", "Na", "Na"], "frac_coords": [[0.250, 0.624, 0.689], [0.750, 0.180, 0.728], [0.250, 0.158, 0.211], [0.750, 0.716, 0.480], [0.250, 0.820, 0.272], [0.250, 0.284, 0.520], [0.750, 0.534, 0.903], [0.750, 0.936, 0.091], [0.750, 0.376, 0.311], [0.250, 0.064, 0.909], [0.250, 0.466, 0.097], [0.750, 0.842, 0.789], [0.750, 0.452, 0.609], [0.250, 0.746, 0.977], [0.250, 0.354, 0.810], [0.250, 0.548, 0.391], [0.750, 0.254, 0.023], [0.750, 0.646, 0.190], [0.750, 0.052, 0.403], [0.250, 0.948, 0.597]]}


Entry 2:
{"formula": "NaLiCd3", "functional": "GGA-PBE", "state": "optimized geometry", "dft_energy_ev_per_atom": -0.80, "ef_ev_per_atom": 0.393, "lattice_angstrom": [[-4.186, -2.286, -2.805], [0.924, -4.822, 2.552], [-3.499, 1.463, 4.030]], "species": ["Na", "Li", "Cd", "Cd", "Cd"], "frac_coords": [[0.000, 0.000, 0.000], [0.500, 0.500, 0.500], [0.000, 0.500, 0.000], [0.500, 0.000, 0.000], [0.000, 0.000, 0.500]]}


Entry 3:
{"formula": "Na2LiCd2", "functional": "GGA-PBE", "state": "optimized geometry", "dft_energy_ev_per_atom": -1.23, "ef_ev_per_atom": 0.049, "lattice_angstrom": [[-1.706, 0.267, -3.920], [1.369, -3.966, -0.866], [-6.668, -4.669, 0.244]], "species": ["Cd", "Cd", "Na", "Na", "Li"], "frac_coords": [[0.408, 0.408, 0.185], [0.592, 0.592, 0.815], [0.750, 0.250, 0.500], [0.250, 0.750, 0.500], [0.000, 0.000, 0.000]]}


Entry 4:
{"formula": "NaLiCd4", "functional": "GGA-PBE", "state": "optimized geometry", "dft_energy_ev_per_atom": -1.27, "ef_ev_per_atom": -0.120, "lattice_angstrom": [[-3.999, -4.243, -0.776], [1.213, -4.584, -3.480], [0.868, -5.324, 2.344]], "species": ["Cd", "Cd", "Cd", "Cd", "Na", "Li"], "frac_coords": [[0.625, 0.625, 0.625], [0.124, 0.625, 0.625], [0.625, 0.124, 0.625], [0.625, 0.625, 0.124], [0.250, 0.250, 0.250], [0.000, 0.000, 0.000]]}


Entry 5:
{"formula": "Na15LiCd4", "functional": "GGA-PBE", "state": "optimized geometry", "dft_energy_ev_per_atom": -1.29, "ef_ev_per_atom": -0.023, "lattice_angstrom": [[5.082, 0.000, 0.000], [0.000, 5.082, 0.000], [0.000, 0.000, 23.599]], "species": ["Cd", "Cd", "Cd", "Cd", "Na", "Na", "Na", "Na", "Na", "Na", "Na", "Na", "Na", "Na", "Na", "Na", "Na", "Na", "Na", "Li"], "frac_coords": [[0.000, 0.000, 0.400], [0.000, 0.000, 0.800], [0.000, 0.000, 0.600], [0.000, 0.000, 0.200], [0.000, 0.500, 0.500], [0.500, 0.500, 0.000], [0.500, 0.000, 0.897], [0.500, 0.000, 0.699], [0.000, 0.500, 0.897], [0.500, 0.000, 0.301], [0.000, 0.500, 0.699], [0.500, 0.500, 0.400], [0.000, 0.500, 0.301], [0.500, 0.500, 0.798], [0.500, 0.000, 0.103], [0.500, 0.000, 0.500], [0.500, 0.500, 0.202], [0.500, 0.500, 0.600], [0.000, 0.500, 0.103], [0.000, 0.000, 0.000]]}


Entry 6:
{"formula": "Na3LiCd4", "functional": "GGA-PBE", "state": "optimized geometry", "dft_energy_ev_per_atom": -1.27, "ef_ev_per_atom": -0.083, "lattice_angstrom": [[4.539, 0.005, -2.124], [-2.486, 7.197, -5.299], [1.078, -3.030, 8.211]], "species": ["Li", "Cd", "Cd", "Cd", "Cd", "Na", "Na", "Na"], "frac_coords": [[0.519, 0.500, 0.000], [0.884, 0.121, 0.730], [0.407, 0.630, 0.777], [0.154, 0.879, 0.269], [0.631, 0.370, 0.223], [0.019, 0.000, 0.000], [0.266, 0.737, 0.494], [0.772, 0.263, 0.507]]}


Entry 7:
{"formula": "NaLi4Cd15", "functional": "GGA-PBE", "state": "optimized geometry", "dft_energy_ev_per_atom": -1.27, "ef_ev_per_atom": -0.135, "lattice_angstrom": [[4.368, 0.000, 0.000], [0.000, 4.368, 0.000], [0.000, 0.000, 22.385]], "species": ["Cd", "Cd", "Cd", "Cd", "Cd", "Cd", "Cd", "Cd", "Cd", "Cd", "Cd", "Cd", "Cd", "Cd", "Cd", "Li", "Li", "Li", "Li", "Na"], "frac_coords": [[0.500, 0.500, 0.793], [0.000, 0.500, 0.696], [0.500, 0.000, 0.304], [0.500, 0.500, 0.402], [0.000, 0.500, 0.108], [0.500, 0.500, 0.207], [0.500, 0.000, 0.696], [0.500, 0.000, 0.108], [0.500, 0.500, 0.598], [0.500, 0.500, 0.000], [0.000, 0.500, 0.500], [0.000, 0.500, 0.892], [0.000, 0.500, 0.304], [0.500, 0.000, 0.500], [0.500, 0.000, 0.892], [0.000, 0.000, 0.598], [0.000, 0.000, 0.206], [0.000, 0.000, 0.402], [0.000, 0.000, 0.794], [0.000, 0.000, 0.000]]}


Entry 8:
{"formula": "NaLi6Cd5", "functional": "GGA-PBE", "state": "optimized geometry", "dft_energy_ev_per_atom": -1.65, "ef_ev_per_atom": -0.204, "lattice_angstrom": [[4.658, 0.006, -1.299], [-3.497, 6.638, -3.535], [-0.208, -1.064, 8.223]], "species": ["Li", "Li", "Li", "Li", "Li", "Li", "Cd", "Cd", "Cd", "Cd", "Cd", "Na"], "frac_coords": [[0.741, 0.569, 0.914], [0.234, 0.734, 0.734], [0.766, 0.266, 0.266], [0.741, 0.914, 0.569], [0.259, 0.431, 0.086], [0.259, 0.086, 0.431], [0.000, 0.668, 0.332], [0.500, 0.836, 0.164], [0.000, 0.332, 0.668], [0.500, 0.500, 0.500], [0.500, 0.164, 0.836], [0.000, 0.000, 0.000]]}


Entry 9:
{"formula": "Na4LiCd", "functional": "GGA-PBE", "state": "optimized geometry", "dft_energy_ev_per_atom": -1.23, "ef_ev_per_atom": 0.118, "lattice_angstrom": [[6.362, 0.000, 0.000], [3.181, 5.510, 0.000], [3.181, 1.837, 5.195]], "species": ["Na", "Na", "Na", "Na", "Cd", "Li"], "frac_coords": [[0.625, 0.625, 0.625], [0.625, 0.126, 0.625], [0.625, 0.625, 0.126], [0.126, 0.625, 0.625], [0.250, 0.250, 0.250], [0.000, 0.000, 0.000]]}


Entry 10:
{"formula": "Na2LiCd9", "functional": "GGA-PBE", "state": "optimized geometry", "dft_energy_ev_per_atom": -1.15, "ef_ev_per_atom": -0.081, "lattice_angstrom": [[7.395, -1.481, 1.460], [2.199, 4.456, 1.243], [1.112, 0.375, 8.283]], "species": ["Cd", "Cd", "Cd", "Cd", "Cd", "Cd", "Cd", "Cd", "Cd", "Na", "Na", "Li"], "frac_coords": [[0.700, 0.685, 0.138], [0.500, 0.500, 0.500], [0.500, 0.247, 0.170], [0.500, 0.753, 0.830], [0.063, 0.407, 0.207], [0.937, 0.593, 0.793], [0.739, 0.191, 0.766], [0.300, 0.315, 0.862], [0.261, 0.809, 0.234], [0.807, 0.900, 0.429], [0.193, 0.100, 0.571], [0.000, 0.000, 0.000]]}